# Pm6AgRh2I3 (PBE, relaxed)
# D(E_F) ... 7.61 states/eV/f.u.
# ΔE_f (raw) ... -0.81 eV/atom
# Total moment ... 0.00 μB per formula unit
# V ... 376 Å³/cell
data_Pm6AgRh2I3
_chemical_formula_sum 'Pm6 Ag1 Rh2 I3'
_symmetry_space_group_name_H-M 'P 1'
_symmetry_Int_Tables_number 1
_cell_length_a 7.326
_cell_length_b 7.326
_cell_length_c 8.440
_cell_angle_alpha 98.31
_cell_angle_beta 98.31
_cell_angle_gamma 120.00
loop_
_symmetry_equiv_pos_as_xyz
'x,y,z'
loop_
_atom_site_label
_atom_site_fract_x
_atom_site_fract_y
_atom_site_fract_z
Pm1 0.937 0.581 0.810
Pm2 0.707 0.707 0.188
Pm3 0.063 0.419 0.190
Pm4 0.581 0.937 0.810
Pm5 0.293 0.293 0.812
Pm6 0.419 0.063 0.190
Ag1 0.000 0.000 0.000
Rh1 0.333 0.667 0.000
Rh2 0.667 0.333 0.000
I1 0.164 0.836 0.500
I2 0.836 0.164 0.500
I3 0.500 0.500 0.500

# PmTlAgI5 (PBE, relaxed)
# D(E_F) ... 0.00 states/eV/f.u.
# ΔE_f (raw) ... -0.91 eV/atom
# Total moment ... 0.00 μB per formula unit
# V ... 731 Å³/cell
data_PmTlAgI5
_chemical_formula_sum 'Pm2 Tl2 Ag2 I10'
_symmetry_space_group_name_H-M 'P 1'
_symmetry_Int_Tables_number 1
_cell_length_a 8.520
_cell_length_b 8.520
_cell_length_c 11.491
_cell_angle_alpha 102.77
_cell_angle_beta 102.77
_cell_angle_gamma 108.76
loop_
_symmetry_equiv_pos_as_xyz
'x,y,z'
loop_
_atom_site_label
_atom_site_fract_x
_atom_site_fract_y
_atom_site_fract_z
Pm1 0.000 0.000 0.500
Pm2 0.000 0.000 0.000
Tl1 0.376 0.624 0.250
Tl2 0.624 0.376 0.750
Ag1 0.691 0.309 0.250
Ag2 0.309 0.691 0.750
I1 0.091 0.909 0.250
I2 0.909 0.091 0.750
I3 0.939 0.329 0.120
I4 0.061 0.671 0.880
I5 0.671 0.061 0.380
I6 0.329 0.939 0.620
I7 0.749 0.615 0.449
I8 0.251 0.385 0.551
I9 0.385 0.251 0.051
I10 0.615 0.749 0.949

# Pr7AgI12 (PBE, relaxed)
# D(E_F) ... 10.48 states/eV/f.u.
# ΔE_f (raw) ... -1.19 eV/atom
# Total moment ... 0.00 μB per formula unit
# V ... 832 Å³/cell
data_Pr7AgI12
_chemical_formula_sum 'Pr7 Ag1 I12'
_symmetry_space_group_name_H-M 'P 1'
_symmetry_Int_Tables_number 1
_cell_length_a 10.098
_cell_length_b 10.098
_cell_length_c 10.098
_cell_angle_alpha 108.05
_cell_angle_beta 108.05
_cell_angle_gamma 108.05
loop_
_symmetry_equiv_pos_as_xyz
'x,y,z'
loop_
_atom_site_label
_atom_site_fract_x
_atom_site_fract_y
_atom_site_fract_z
Pr1 0.958 0.674 0.886
Pr2 0.326 0.114 0.042
Pr3 0.114 0.042 0.326
Pr4 0.500 0.500 0.500
Pr5 0.886 0.958 0.674
Pr6 0.674 0.886 0.958
Pr7 0.042 0.326 0.114
Ag1 0.000 0.000 0.000
I1 0.922 0.311 0.772
I2 0.689 0.228 0.078
I3 0.478 0.156 0.396
I4 0.844 0.604 0.522
I5 0.228 0.078 0.689
I6 0.604 0.522 0.844
I7 0.396 0.478 0.156
I8 0.772 0.922 0.311
I9 0.156 0.396 0.478
I10 0.522 0.844 0.604
I11 0.311 0.772 0.922
I12 0.078 0.689 0.228

# PrAgI4 (PBE, relaxed)
# ΔE_f (raw) ... -0.99 eV/atom
# Total moment ... 0.00 μB per formula unit
# V ... 543 Å³/cell
data_PrAgI4
_chemical_formula_sum 'Pr2 Ag2 I8'
_symmetry_space_group_name_H-M 'P 1'
_symmetry_Int_Tables_number 1
_cell_length_a 4.483
_cell_length_b 7.793
_cell_length_c 15.553
_cell_angle_alpha 88.21
_cell_angle_beta 90.00
_cell_angle_gamma 90.00
loop_
_symmetry_equiv_pos_as_xyz
'x,y,z'
loop_
_atom_site_label
_atom_site_fract_x
_atom_site_fract_y
_atom_site_fract_z
Pr1 0.500 0.500 0.500
Pr2 0.000 0.000 0.000
Ag1 0.000 0.000 0.500
Ag2 0.500 0.500 0.000
I1 0.500 0.163 0.395
I2 0.000 0.337 0.105
I3 0.500 0.837 0.605
I4 0.000 0.663 0.895
I5 0.000 0.652 0.375
I6 0.500 0.848 0.125
I7 0.000 0.348 0.625
I8 0.500 0.152 0.875

# Pr2AgI2 (PBE, relaxed)
# D(E_F) ... 4.81 states/eV/f.u.
# ΔE_f (raw) ... -0.81 eV/atom
# Total moment ... 0.65 μB per formula unit
# V ... 195 Å³/cell
data_Pr2AgI2
_chemical_formula_sum 'Pr2 Ag1 I2'
_symmetry_space_group_name_H-M 'P 1'
_symmetry_Int_Tables_number 1
_cell_length_a 4.314
_cell_length_b 4.314
_cell_length_c 12.380
_cell_angle_alpha 79.97
_cell_angle_beta 79.97
_cell_angle_gamma 60.00
loop_
_symmetry_equiv_pos_as_xyz
'x,y,z'
loop_
_atom_site_label
_atom_site_fract_x
_atom_site_fract_y
_atom_site_fract_z
Pr1 0.616 0.616 0.153
Pr2 0.384 0.384 0.847
Ag1 0.000 0.000 0.000
I1 0.224 0.224 0.328
I2 0.776 0.776 0.672

# Pr3AgI3 (PBE, relaxed)
# D(E_F) ... 6.98 states/eV/f.u.
# ΔE_f (raw) ... -0.89 eV/atom
# Total moment ... 0.00 μB per formula unit
# V ... 1019 Å³/cell
data_Pr3AgI3
_chemical_formula_sum 'Pr12 Ag4 I12'
_symmetry_space_group_name_H-M 'P 1'
_symmetry_Int_Tables_number 1
_cell_length_a 10.980
_cell_length_b 10.980
_cell_length_c 10.980
_cell_angle_alpha 109.47
_cell_angle_beta 109.47
_cell_angle_gamma 109.47
loop_
_symmetry_equiv_pos_as_xyz
'x,y,z'
loop_
_atom_site_label
_atom_site_fract_x
_atom_site_fract_y
_atom_site_fract_z
Pr1 0.976 0.488 0.238
Pr2 0.512 0.024 0.262
Pr3 0.250 0.012 0.488
Pr4 0.988 0.750 0.012
Pr5 0.988 0.238 0.476
Pr6 0.762 0.012 0.024
Pr7 0.738 0.476 0.488
Pr8 0.762 0.750 0.238
Pr9 0.524 0.262 0.012
Pr10 0.250 0.238 0.262
Pr11 0.738 0.262 0.750
Pr12 0.512 0.488 0.750
Ag1 0.750 0.500 0.000
Ag2 0.500 0.250 0.500
Ag3 0.750 0.250 0.250
Ag4 0.000 0.000 0.250
I1 0.241 0.991 0.982
I2 0.750 0.759 0.741
I3 0.482 0.741 0.991
I4 0.009 0.250 0.991
I5 0.259 0.741 0.250
I6 0.491 0.509 0.250
I7 0.241 0.250 0.759
I8 0.259 0.518 0.509
I9 0.750 0.991 0.509
I10 0.018 0.509 0.759
I11 0.009 0.759 0.518
I12 0.491 0.982 0.741